Rb2BaAu after structural relaxation, computed with PBE.

## Properties
ΔH_f (0 K) = -31.3 kJ per mole of atoms
V = 498.8 Å³ per cell
VASP energy = -2.11 eV/atom
Crystal system = monoclinic

a b c (Å): 4.7420 4.7425 22.1809
angles (deg): 90.00 90.02 90.00
Space group P2_1 (No. 4)
Asymmetric unit:
Rb  0.2493  0.0000  0.0868 (multiplicity 2)
Rb  0.2514  0.9988  0.7370 (multiplicity 2)
Ba  0.2498  0.9972  0.4299 (multiplicity 2)
Au  0.2502  0.9973  0.5785 (multiplicity 2)

Pm2NdMnN4 after structural relaxation, computed with PBE.

## Properties
V = 493.6 Å³ per cell
VASP energy = -8.11 eV/atom
Formation energy without anion corrections = -1.0225 eV/atom
Crystal system = orthorhombic

a b c (Å): 3.4860 11.7863 12.0138
angles (deg): 90.00 90.00 90.00
Space group Cmcm (No. 63)
Asymmetric unit:
Pm  0.0000  0.1310  0.0450 (multiplicity 8)
Nd  0.0000  0.3948  0.2500 (multiplicity 4)
Mn  0.0000  0.3349  0.7500 (multiplicity 4)
N  0.0000  0.0771  0.2500 (multiplicity 4)
N  0.0000  0.2283  0.6338 (multiplicity 8)
N  0.0000  0.5000  0.0000 (multiplicity 4)

BMoI2 after structural relaxation, computed with PBE.

## Properties
V = 401.4 Å³ per cell
VASP energy = -3.59 eV/atom
Formation energy without anion corrections = 1.5671 eV/atom
Crystal system = tetragonal

a b c (Å): 5.8672 5.8672 11.6618
angles (deg): 90.00 90.00 90.00
Space group I-42d (No. 122)
Asymmetric unit:
B  0.0000  0.0000  0.0000 (multiplicity 4)
Mo  0.0000  0.0000  0.5000 (multiplicity 4)
I  0.2241  0.2500  0.1250 (multiplicity 8)

LiY2Sb after structural relaxation, computed with PBE.

## Properties
V = 200.0 Å³ per cell
VASP energy = -5.22 eV/atom
Formation energy without anion corrections = -0.4776 eV/atom
Crystal system = tetragonal

a b c (Å): 4.8243 4.8243 8.5942
angles (deg): 90.00 90.00 90.00
Space group I4/mmm (No. 139)
Asymmetric unit:
Li  0.0000  0.0000  0.0000 (multiplicity 2)
Y  0.0000  0.5000  0.2500 (multiplicity 4)
Sb  0.0000  0.0000  0.5000 (multiplicity 2)